Tl2ReS4: optimized geometry, GGA-PBE.

Calculated values
**Electronic total energy**: -4.881 eV/atom

POSCAR file:
```
Tl2ReS4
1.0
-2.436 3.262 -2.071
1.618 -1.362 -4.048
-6.708 -4.243 -3.830
Re Tl S
1 2 4
Direct
0.000 0.000 0.000
0.661 0.661 0.678
0.339 0.339 0.322
0.150 0.150 0.701
0.850 0.850 0.299
0.500 0.000 0.000
0.000 0.500 0.000
```

---

YScTl2: optimized geometry, GGA-PBE.

Calculated values
**Electronic total energy**: -4.422 eV/atom

POSCAR file:
```
YScTl2
1.0
-9.225 0.574 5.516
-10.513 0.366 2.279
-9.660 -2.542 4.008
Sc Tl Y
1 2 1
Direct
0.749 0.749 0.749
0.252 0.252 0.252
0.002 0.002 0.002
0.498 0.498 0.498
```

---

LiEuScGa: optimized geometry, GGA-PBE.

Calculated values
**Electronic total energy**: -5.589 eV/atom

POSCAR file:
```
LiEuScGa
1.0
5.083 0.000 0.000
2.541 4.402 0.000
2.541 1.467 4.150
Ga Li Eu Sc
1 1 1 1
Direct
0.250 0.250 0.250
0.750 0.750 0.750
0.000 0.000 0.000
0.500 0.500 0.500
```

---

CePr2Ir9: optimized geometry, GGA-PBE.

Calculated values
**Electronic total energy**: -8.462 eV/atom

POSCAR file:
```
CePr2Ir9
1.0
5.371 0.000 0.000
2.686 4.652 0.000
2.686 1.551 8.898
Ir Ce Pr
9 1 2
Direct
0.668 0.668 0.997
0.332 0.332 0.003
0.421 0.421 0.242
0.579 0.579 0.758
0.579 0.083 0.758
0.917 0.421 0.242
0.500 0.500 0.500
0.083 0.579 0.758
0.421 0.917 0.242
0.000 0.000 0.000
0.140 0.140 0.581
0.860 0.860 0.419
```

---

TbDyPd2: optimized geometry, GGA-PBE.

Calculated values
**Energy above the most stable polymorph in this dataset**: 0.0373 eV per atom
**Electronic total energy**: -5.780 eV/atom

POSCAR file:
```
TbDyPd2
1.0
4.979 0.000 0.000
2.489 4.312 0.000
2.489 1.437 4.065
Pd Dy Tb
2 1 1
Direct
0.250 0.250 0.250
0.750 0.750 0.750
0.500 0.500 0.500
0.000 0.000 0.000
```

---

CaNdSmHg: optimized geometry, GGA-PBE.

Calculated values
**Energy above the most stable polymorph in this dataset**: 0.0000 eV per atom
**Electronic total energy**: -3.186 eV/atom

POSCAR file:
```
CaNdSmHg
1.0
-0.019 3.275 1.689
-0.778 -1.655 3.200
9.226 -0.872 1.792
Nd Hg Ca Sm
1 1 1 1
Direct
0.000 0.000 0.088
0.000 0.000 0.566
0.500 0.500 0.776
0.500 0.500 0.355
```

---

K2CaAu2I6: optimized geometry, GGA-PBE.

Calculated values
**Electronic total energy**: -2.746 eV/atom

POSCAR file:
```
K2CaAu2I6
1.0
8.667 0.000 0.000
-4.334 7.498 -0.128
0.000 -4.428 7.249
I Au K Ca
6 2 2 1
Direct
0.262 0.525 0.391
0.327 0.138 0.820
0.188 0.862 0.180
0.673 0.862 0.180
0.812 0.138 0.820
0.738 0.475 0.609
0.048 0.096 0.209
0.952 0.904 0.791
0.248 0.496 0.788
0.752 0.504 0.212
0.500 0.000 0.500
```

---

ScPaNiIr: optimized geometry, GGA-PBE.

Calculated values
**Electronic total energy**: -8.173 eV/atom

POSCAR file:
```
ScPaNiIr
1.0
4.722 0.000 0.000
2.361 4.089 0.000
2.361 1.363 3.855
Sc Pa Ir Ni
1 1 1 1
Direct
0.500 0.500 0.500
0.000 0.000 0.000
0.750 0.750 0.750
0.250 0.250 0.250
```

---

ZrAgSb2: optimized geometry, GGA-PBE.

Calculated values
**Electronic total energy**: -5.043 eV/atom

POSCAR file:
```
ZrAgSb2
1.0
-1.622 1.590 2.451
-2.445 -1.040 -2.026
-0.542 -7.480 4.494
Sb Zr Ag
2 1 1
Direct
0.000 0.000 0.492
0.000 0.000 0.008
0.500 0.500 0.250
0.500 0.500 0.750
```

---

Sr3CuIr: optimized geometry, GGA-PBE.

Calculated values
**Energy above the most stable polymorph in this dataset**: 0.2630 eV per atom
**Electronic total energy**: -3.466 eV/atom

POSCAR file:
```
Sr3CuIr
1.0
-3.798 2.180 -3.745
1.425 -4.074 -3.817
-4.092 -3.442 2.146
Cu Sr Ir
1 3 1
Direct
0.500 0.500 0.500
0.500 0.000 0.000
0.000 0.000 0.500
0.000 0.500 0.000
0.000 0.000 0.000
```

---

YCoIr2: optimized geometry, GGA-PBE.

Calculated values
**Energy above the most stable polymorph in this dataset**: 0.1076 eV per atom
**Electronic total energy**: -7.901 eV/atom

POSCAR file:
```
YCoIr2
1.0
-1.072 4.191 2.295
-3.181 -0.927 3.606
4.289 -2.062 -1.154
Co Ir Y
1 2 1
Direct
0.250 0.750 0.500
0.000 0.000 0.000
0.750 0.250 0.500
0.500 0.500 0.000
```

---

YScRe2: optimized geometry, GGA-PBE.

Calculated values
**Energy above the most stable polymorph in this dataset**: 0.1158 eV per atom
**Electronic total energy**: -9.353 eV/atom

POSCAR file:
```
YScRe2
1.0
-4.203 3.727 -1.113
-2.580 -0.230 -5.107
1.272 -2.784 4.840
Re Y Sc
2 1 1
Direct
0.224 0.724 0.500
0.029 0.029 0.000
0.763 0.263 0.500
0.485 0.485 0.000
```

---

Cs13K2: optimized geometry, GGA-PBE.

Calculated values
**Electronic total energy**: -0.782 eV/atom

POSCAR file:
```
Cs13K2
1.0
-13.724 1.353 1.934
-5.262 -0.148 12.892
-4.990 12.994 5.633
Cs K
13 2
Direct
0.867 0.479 0.176
0.133 0.521 0.824
0.262 0.897 0.579
0.897 0.262 0.579
0.738 0.103 0.421
0.738 0.738 0.421
0.103 0.738 0.421
0.479 0.867 0.176
0.521 0.521 0.824
0.479 0.479 0.176
0.500 0.500 0.500
0.521 0.133 0.824
0.262 0.262 0.579
0.738 0.738 0.786
0.262 0.262 0.214
```

---

MnCdFe2Br: optimized geometry, GGA-PBE.

Calculated values
**Electronic total energy**: -4.672 eV/atom

POSCAR file:
```
MnCdFe2Br
1.0
-3.131 1.132 -2.742
-1.996 -3.754 0.729
-2.706 2.216 4.005
Br Cd Fe Mn
1 1 2 1
Direct
0.500 0.500 0.500
0.000 0.000 0.500
0.000 0.500 0.000
0.500 0.000 0.000
0.000 0.000 0.000
```

---

Mg3CdBr: optimized geometry, GGA-PBE.

Calculated values
**Energy above the most stable polymorph in this dataset**: 0.0000 eV per atom
**Electronic total energy**: -1.495 eV/atom

POSCAR file:
```
Mg3CdBr
1.0
-0.268 -5.366 0.154
3.930 -0.301 -3.654
3.657 -0.070 3.939
Mg Cd Br
3 1 1
Direct
0.500 0.000 0.000
0.000 0.000 0.500
0.000 0.500 0.000
0.000 0.000 0.000
0.500 0.500 0.500
```

---

SrZnSi2Pd5: optimized geometry, GGA-PBE.

Calculated values
**Electronic total energy**: -4.874 eV/atom

POSCAR file:
```
SrZnSi2Pd5
1.0
-2.539 1.576 3.511
-1.311 -4.309 0.986
6.409 -0.807 4.997
Pd Si Zn Sr
5 2 1 1
Direct
0.500 0.000 0.168
0.000 0.500 0.168
0.000 0.500 0.832
0.500 0.000 0.832
0.500 0.500 0.500
0.500 0.500 0.216
0.500 0.500 0.784
0.000 0.000 0.000
0.000 0.000 0.500
```

---

PuAlFe2: optimized geometry, GGA-PBE.

Calculated values
**Electronic total energy**: -8.797 eV/atom

POSCAR file:
```
PuAlFe2
1.0
3.157 0.000 0.000
0.000 3.157 0.000
0.000 0.000 6.203
Fe Pu Al
2 1 1
Direct
0.000 0.000 0.296
0.000 0.000 0.704
0.500 0.500 0.000
0.500 0.500 0.500
```

---

Pm4AgPt: optimized geometry, GGA-PBE.

Calculated values
**Energy above the most stable polymorph in this dataset**: 0.0000 eV per atom
**Electronic total energy**: -5.172 eV/atom

POSCAR file:
```
Pm4AgPt
1.0
8.530 0.000 4.925
2.843 8.042 4.925
0.000 0.000 9.849
Pm Ag Pt
16 4 4
Direct
0.395 0.395 0.815
0.814 0.186 0.814
0.940 0.560 0.560
0.560 0.560 0.940
0.940 0.940 0.560
0.940 0.560 0.940
0.814 0.814 0.186
0.815 0.395 0.395
0.186 0.186 0.814
0.560 0.940 0.940
0.186 0.814 0.186
0.560 0.940 0.560
0.395 0.815 0.395
0.395 0.395 0.395
0.186 0.814 0.814
0.814 0.186 0.186
0.498 0.167 0.167
0.167 0.167 0.498
0.167 0.498 0.167
0.167 0.167 0.167
0.183 0.606 0.606
0.606 0.606 0.606
0.606 0.606 0.183
0.606 0.183 0.606
```

---

AsC2: optimized geometry, GGA-PBE.

Calculated values
**Energy above the most stable polymorph in this dataset**: 1.1085 eV per atom
**Electronic total energy**: -6.239 eV/atom

POSCAR file:
```
AsC2
1.0
-0.093 8.882 5.451
-1.548 -10.121 -1.947
2.461 -0.560 0.954
As C
2 4
Direct
0.195 0.805 0.750
0.805 0.195 0.250
0.500 0.500 0.750
0.733 0.267 0.750
0.267 0.733 0.250
0.500 0.500 0.250
```

---

LaSc6: optimized geometry, GGA-PBE.

Calculated values
**Electronic total energy**: -4.943 eV/atom

POSCAR file:
```
LaSc6
1.0
-5.505 -2.423 2.237
4.897 -2.239 3.490
-0.162 6.402 0.401
La Sc
1 6
Direct
0.000 0.000 0.000
0.250 0.500 0.750
0.750 0.250 0.500
0.500 0.250 0.750
0.750 0.500 0.250
0.500 0.750 0.250
0.250 0.750 0.500
```

---

Li3AsPd: optimized geometry, GGA-PBE.

Calculated values
**Energy above the most stable polymorph in this dataset**: 0.0000 eV per atom
**Electronic total energy**: -3.675 eV/atom

POSCAR file:
```
Li3AsPd
1.0
-2.117 3.443 -2.884
-2.581 -3.054 -1.752
-5.209 1.310 5.389
As Li Pd
2 6 2
Direct
0.365 0.925 0.799
0.865 0.427 0.299
0.132 0.426 0.990
0.614 0.425 0.800
0.632 0.927 0.491
0.632 0.927 0.108
0.132 0.426 0.608
0.114 0.927 0.298
0.378 0.427 0.299
0.878 0.926 0.799
```

---

InGa3Pb2: optimized geometry, GGA-PBE.

Calculated values
**Electronic total energy**: -3.120 eV/atom

POSCAR file:
```
InGa3Pb2
1.0
-1.379 -3.937 3.759
7.109 -2.844 -0.371
-1.480 5.897 5.634
Ga In Pb
6 2 4
Direct
0.000 0.847 0.693
0.000 0.500 0.000
0.500 0.847 0.693
0.500 0.500 0.000
0.500 0.153 0.307
0.000 0.153 0.307
0.250 0.162 0.000
0.750 0.838 0.000
0.750 0.184 0.655
0.750 0.529 0.345
0.250 0.816 0.345
0.250 0.471 0.655
```

---

Re2NiBr: optimized geometry, GGA-PBE.

Calculated values
**Energy above the most stable polymorph in this dataset**: 0.0880 eV per atom
**Electronic total energy**: -7.527 eV/atom

POSCAR file:
```
Re2NiBr
1.0
-0.536 0.017 8.607
-3.346 -0.096 7.948
-1.788 -2.526 8.049
Re Br Ni
2 1 1
Direct
0.254 0.254 0.254
0.002 0.002 0.002
0.495 0.495 0.495
0.749 0.749 0.749
```

---

La3Cd2Ag4: optimized geometry, GGA-PBE.

Calculated values
**Energy above the most stable polymorph in this dataset**: 0.0000 eV per atom
**Electronic total energy**: -3.432 eV/atom

POSCAR file:
```
La3Cd2Ag4
1.0
4.758 0.000 1.406
2.116 5.536 1.595
0.028 -0.135 8.662
Ag La Cd
4 3 2
Direct
0.934 0.733 0.399
0.276 0.391 0.057
0.724 0.609 0.943
0.066 0.267 0.601
0.000 0.000 0.000
0.658 0.359 0.324
0.342 0.641 0.676
0.372 0.963 0.294
0.628 0.037 0.706
```

---

YHo2TmN4: optimized geometry, GGA-PBE.

Calculated values
**Electronic total energy**: -8.425 eV/atom

POSCAR file:
```
YHo2TmN4
1.0
3.446 0.000 0.000
0.000 5.966 0.106
0.000 -2.086 5.590
N Ho Y Tm
4 2 1 1
Direct
0.500 0.753 0.751
0.000 0.752 0.251
0.500 0.247 0.249
0.000 0.248 0.749
0.500 0.000 0.500
0.000 0.500 0.500
0.500 0.500 0.000
0.000 0.000 0.000
```